Entry 1:
Material: ReMoPb2
Method: DFT, PBE-GGA
State: relaxed

Unit cell a=3.1521 b=3.1521 c=9.1453 alpha=90.00 beta=90.00 gamma=116.63
Closest atoms and distances in Å follow each position.
Fractional positions:
Re: 0.0000 0.0000 0.0000  4 Pb 2.80
Mo: 0.0000 0.0000 0.5000  4 Pb 2.84, 4 Mo 3.15
Pb: 0.5000 0.5000 0.2474  2 Re 2.80, 2 Mo 2.84
Pb: 0.5000 0.5000 0.7526  2 Re 2.80, 2 Mo 2.84

Its space group is Cmmm. As for the crystal system: orthorhombic. The formation enthalpy at 0 K is 1.1483 eV per atom. For the density of states at the Fermi level, the calculation gives 4.23 states/eV/f.u. As for the total magnetization: 0.00 μB/cell. The calculation puts the polymorph energy (0 for the lowest one) at 803 meV/atom.

---

Entry 2:
Material: ReMoPb2
Method: DFT, PBE-GGA
State: relaxed

Unit cell a=9.1346 b=9.1346 c=9.1346 alpha=20.19 beta=20.19 gamma=20.19
Closest atoms and distances in Å follow each position.
Fractional positions:
Re: 0.0000 0.0000 0.0000  6 Pb 2.88, 6 Re 3.20
Mo: 0.5000 0.5000 0.5000  6 Pb 2.92, 6 Mo 3.20
Pb: 0.2509 0.2509 0.2509  3 Re 2.88, 3 Mo 2.92, 6 Pb 3.20
Pb: 0.7491 0.7491 0.7491  3 Re 2.88, 3 Mo 2.92, 6 Pb 3.20

Its space group is R-3m. As for the crystal system: trigonal. The formation enthalpy at 0 K is 1.0919 eV per atom. For the density of states at the Fermi level, the calculation gives 5.79 states/eV/f.u. As for the total magnetization: 0.26 μB/cell. The calculation puts the polymorph energy (0 for the lowest one) at 747 meV/atom.